A relaxed ZnFeRh2 crystal, computed with GGA-PBE.

Output
DOS at the Fermi energy = 1.237 states/eV per atom
Formation enthalpy at 0 K = 42 meV/atom
E = -97.08 eV/cell

Lattice parameters (Å, degrees): 6.0677 6.0677 6.0677 90.00 90.00 90.00
Space group F-43m (No. 216)
Unique sites:
Zn: 0.0000 0.0000 0.0000 (multiplicity 4)
Fe: 0.2500 0.2500 0.7500 (multiplicity 4)
Rh: 0.0000 0.0000 0.5000 (multiplicity 4)
Rh: 0.2500 0.2500 0.2500 (multiplicity 4)